First-principles (PBE-GGA) data for a relaxed structure of Pu2CdCuO8, as listed in Alexandria via LeMat-Bulk.

Lattice parameters (Å, degrees): 6.7714 6.8354 6.9475 90.00 90.00 90.00
Last column: nearest neighbours and their distance in Å.
Space group Cmmm (No. 65)
One atom of each set of equivalent atoms:
Pu 0.0000 0.0000 0.2446 x4  2 O 1.92
Cd 0.0000 0.5000 0.5000 x2  6 O 2.18-2.34
Cu 0.0000 0.5000 0.0000 x2  6 O 2.08-2.20
O 0.0000 0.1818 0.5000 x4  2 Pu 2.17, 1 Cd 2.18
O 0.0000 0.1955 0.0000 x4  1 Cu 2.08, 2 Pu 2.16
O 0.2164 0.5000 0.2367 x8  1 Pu 1.92

Calculated values
Its crystal system is orthorhombic. The spin magnetization comes out at 3.0 μB per formula unit. Its formation energy from raw total energies is -1.921 eV/atom. The electronic total energy comes out at -8.032 eV/atom.

---

First-principles (PBE-GGA) data for a relaxed structure of AcPrNd2Er, as listed in Alexandria via LeMat-Bulk.

Lattice parameters (Å, degrees): 8.3305 12.2982 7.4535 90.00 90.00 90.00
Last column: nearest neighbours and their distance in Å.
Space group Cmcm (No. 63)
One atom of each set of equivalent atoms:
Ac 0.0000 0.2428 0.2500 x4  1 Pr 3.75, 2 Er 3.82, 4 Nd 4.02
Pr 0.0000 0.0618 0.7500 x4  1 Er 3.04, 4 Nd 3.23
Nd 0.1968 0.5000 0.0000 x8  2 Pr 3.23, 1 Nd 3.28, 2 Er 3.41
Er 0.0000 0.3094 0.7500 x4  1 Pr 3.04

Calculated values
Its crystal system is orthorhombic. As for the formation energy from the elements: 0.339 eV per atom. The spin magnetization comes out at 0.0 μB per formula unit. The electronic total energy comes out at -4.259 eV/atom.

---

Q: Look up the spin magnetization of the second one.
A: 0.0 μB per formula unit

---

Q: The lowest spin magnetization belongs to which entry?
A: AcPrNd2Er

---

Q: Which value of spin magnetization does entry 2 give?
A: 0.0 μB per formula unit

---

Copy entry 2 word for word.
First-principles (PBE-GGA) data for a relaxed structure of AcPrNd2Er, as listed in Alexandria via LeMat-Bulk.

Lattice parameters (Å, degrees): 8.3305 12.2982 7.4535 90.00 90.00 90.00
Last column: nearest neighbours and their distance in Å.
Space group Cmcm (No. 63)
One atom of each set of equivalent atoms:
Ac 0.0000 0.2428 0.2500 x4  1 Pr 3.75, 2 Er 3.82, 4 Nd 4.02
Pr 0.0000 0.0618 0.7500 x4  1 Er 3.04, 4 Nd 3.23
Nd 0.1968 0.5000 0.0000 x8  2 Pr 3.23, 1 Nd 3.28, 2 Er 3.41
Er 0.0000 0.3094 0.7500 x4  1 Pr 3.04

Calculated values
Its crystal system is orthorhombic. As for the formation energy from the elements: 0.339 eV per atom. The spin magnetization comes out at 0.0 μB per formula unit. The electronic total energy comes out at -4.259 eV/atom.